The following is a DFT calculation (PBE) of crystalline HfNiAu2 at its relaxed geometry.

Cell and atoms, written as POSCAR:
```
HfNiAu2
1.0
-3.6876 3.6876 2.6776
3.6876 -3.6876 2.6776
3.6876 3.6876 -2.6776
Hf Ni Au
2 2 4
direct
0.0000 0.0000 0.0000
0.7500 0.2500 0.5000
0.2500 0.7500 0.5000
0.5000 0.5000 0.0000
0.1539 0.6250 0.0289
0.3750 0.4039 0.5289
0.5961 0.1250 0.9711
0.8750 0.8461 0.4711
```

The density of states at the Fermi level is 4.60 states/eV per cell. The calculation puts the formation energy at -0.9 kJ/mol of atoms.

The following is a DFT calculation (PBE) of crystalline BaCdB2Ir at its relaxed geometry.

Cell and atoms, written as POSCAR:
```
BaCdB2Ir
1.0
4.4834 0.0000 0.0000
0.0000 4.4834 0.0000
0.0000 0.0000 5.3068
Ba Cd B Ir
1 1 2 1
direct
0.0000 0.0000 0.0000
0.5000 0.5000 0.5000
0.0000 0.5000 0.5000
0.5000 0.0000 0.5000
0.5000 0.5000 0.0000
```

The density of states at the Fermi level is 3.09 states/eV per cell. The calculation puts the formation energy at 140.4 kJ/mol of atoms.